Below is SrTaCu after structural relaxation, with properties calculated at the PBE level.

The calculation puts the formation energy at 43.2 kJ per mole of atoms. The excess energy over the best structure of this formula in the dataset is 0.191 eV per atom. The theoretical density comes out at 7.5 g/cm3. The energy comes out at -5.429 eV per atom. Its density of states at the Fermi level is 1.1296 states/eV/atom.

The structure belongs to space group P-1 (No. 2); the cell edges are 3.5532, 6.3715 and 7.1808 Å and the angles 73.67°, 75.79° and 73.88°. The asymmetric unit holds Sr at (0.0705, 0.1484, 0.2097), Ta at (0.2819, 0.3511, 0.5858) and Cu at (0.3806, 0.5766, 0.1596).


Below is SrTa4Cu after structural relaxation, with properties calculated at the PBE level.

The calculation puts the formation energy at 77.9 kJ per mole of atoms. The theoretical density comes out at 11.3 g/cm3. The energy comes out at -8.058 eV per atom. Its density of states at the Fermi level is 1.1067 states/eV/atom.

The structure belongs to space group F-43m (No. 216); the cell edges are 8.0113, 8.0113 and 8.0113 Å and the angles 90.00°, 90.00° and 90.00°. The asymmetric unit holds Sr at (0.0000, 0.0000, 0.0000), Ta at (0.1270, 0.1270, 0.6270) and Cu at (0.2500, 0.2500, 0.2500).


Below is SrTaCu after structural relaxation, with properties calculated at the PBE level.

The calculation puts the formation energy at 52.7 kJ per mole of atoms. The excess energy over the best structure of this formula in the dataset is 0.290 eV per atom. The theoretical density comes out at 7.9 g/cm3. The energy comes out at -5.330 eV per atom. Its density of states at the Fermi level is 1.9892 states/eV/atom.

The structure belongs to space group P1 (No. 1); the cell edges are 3.1518, 6.8182 and 7.5091 Å and the angles 64.24°, 77.93° and 76.71°. The asymmetric unit holds Sr at (0.0000, 0.0000, 0.0000), Sr at (0.2007, 0.4189, 0.1763), Ta at (0.3269, 0.8684, 0.4763), Ta at (0.9517, 0.4950, 0.5993), Cu at (0.6287, 0.1574, 0.5824) and Cu at (0.7311, 0.7337, 0.8005).